The following is a DFT calculation (GGA-PBE) of a geometry-optimized RbPmAuO4 structure.

```
data_RbPmAuO4
_chemical_formula_sum 'Rb2 Pm2 Au2 O8'
_cell_length_a 5.988
_cell_length_b 5.416
_cell_length_c 8.361
_cell_angle_alpha 90.00
_cell_angle_beta 104.24
_cell_angle_gamma 90.00
_symmetry_space_group_name_H-M 'P 1 21/m 1'
_symmetry_Int_Tables_number 11
loop_
_symmetry_equiv_pos_as_xyz
'x,y,z'
'-x,-y,-z'
'-x,y+1/2,-z'
'x,-y+1/2,z'
loop_
_atom_site_label
_atom_site_type_symbol
_atom_site_fract_x
_atom_site_fract_y
_atom_site_fract_z
Rb1 Rb 0.125 0.250 0.121
Pm1 Pm 0.212 0.750 0.472
Au1 Au 0.376 0.250 0.736
O1 O 0.110 0.013 0.678
O2 O 0.292 0.750 0.194
O3 O 0.369 0.250 0.456
```

Computed properties:
E_form (uncorrected) = -1325 meV/atom

***

The following is a DFT calculation (GGA-PBE) of a geometry-optimized RbPm2AuO5 structure.

```
data_RbPm2AuO5
_chemical_formula_sum 'Rb4 Pm8 Au4 O20'
_cell_length_a 6.820
_cell_length_b 6.820
_cell_length_c 12.486
_cell_angle_alpha 90.00
_cell_angle_beta 90.00
_cell_angle_gamma 90.00
_symmetry_space_group_name_H-M 'I 4/m c m'
_symmetry_Int_Tables_number 140
_symmetry_space_group_name_Hall '-I 4 2c'
loop_
_atom_site_label
_atom_site_type_symbol
_atom_site_fract_x
_atom_site_fract_y
_atom_site_fract_z
Rb1 Rb 0.000 0.000 0.250
Pm1 Pm 0.174 0.326 0.000
Au1 Au 0.000 0.500 0.250
O1 O 0.000 0.000 0.000
O2 O 0.133 0.367 0.387
```

Computed properties:
E_form (uncorrected) = -1983 meV/atom

***

The following is a DFT calculation (GGA-PBE) of a geometry-optimized PmAuS2O8 structure.

```
data_PmAuS2O8
_chemical_formula_sum 'Pm3 Au3 S6 O24'
_cell_length_a 5.0190
_cell_length_b 5.0190
_cell_length_c 23.6596
_cell_angle_alpha 90.00
_cell_angle_beta 90.00
_cell_angle_gamma 120.00
_symmetry_space_group_name_H-M 'R 3 2'
_symmetry_Int_Tables_number 155
_symmetry_space_group_name_Hall 'R 3 2"'
loop_
_atom_site_label
_atom_site_type_symbol
_atom_site_fract_x
_atom_site_fract_y
_atom_site_fract_z
Pm1 Pm 0.0000 0.0000 0.0000
Au1 Au 0.0000 0.0000 0.5000
S1 S 0.0000 0.0000 0.2480
O1 O 0.0000 0.0000 0.1860
O2 O 0.0042 0.2815 0.2708
```

Computed properties:
E_form (uncorrected) = -1548 meV/atom

***

The following is a DFT calculation (GGA-PBE) of a geometry-optimized PmSmAu2O8 structure.

```
data_PmSmAu2O8
_chemical_formula_sum 'Pm2 Sm2 Au4 O16'
_cell_length_a 5.623
_cell_length_b 5.623
_cell_length_c 10.447
_cell_angle_alpha 90.00
_cell_angle_beta 90.00
_cell_angle_gamma 90.00
_symmetry_space_group_name_H-M 'I -4'
_symmetry_Int_Tables_number 82
loop_
_symmetry_equiv_pos_as_xyz
'x,y,z'
'y,-x,-z'
'-x,-y,z'
'-y,x,-z'
'x+1/2,y+1/2,z+1/2'
'y+1/2,-x+1/2,-z+1/2'
'-x+1/2,-y+1/2,z+1/2'
'-y+1/2,x+1/2,-z+1/2'
loop_
_atom_site_label
_atom_site_type_symbol
_atom_site_fract_x
_atom_site_fract_y
_atom_site_fract_z
Pm1 Pm 0.000 0.000 0.000
Sm1 Sm 0.000 0.500 0.250
Au1 Au 0.000 0.000 0.500
Au2 Au 0.000 0.500 0.750
O1 O 0.114 0.330 0.460
O2 O 0.116 0.829 0.789
```

Computed properties:
E_form (uncorrected) = -1160 meV/atom

***

The following is a DFT calculation (GGA-PBE) of a geometry-optimized SrPmAuO4 structure.

```
data_SrPmAuO4
_chemical_formula_sum 'Sr4 Pm4 Au4 O16'
_cell_length_a 6.349
_cell_length_b 11.031
_cell_length_c 7.036
_cell_angle_alpha 90.00
_cell_angle_beta 90.00
_cell_angle_gamma 90.00
_symmetry_space_group_name_H-M 'C m c m'
_symmetry_Int_Tables_number 63
_symmetry_space_group_name_Hall '-C 2c 2'
loop_
_atom_site_label
_atom_site_type_symbol
_atom_site_fract_x
_atom_site_fract_y
_atom_site_fract_z
Sr1 Sr 0.000 0.000 0.000
Pm1 Pm 0.000 0.332 0.250
Au1 Au 0.000 0.359 0.750
O1 O 0.000 0.226 0.530
O2 O 0.223 0.492 0.250
```

Computed properties:
E_form (uncorrected) = -1701 meV/atom

***

The following is a DFT calculation (GGA-PBE) of a geometry-optimized SrPm2AuO5 structure.

```
data_SrPm2AuO5
_chemical_formula_sum 'Sr2 Pm4 Au2 O10'
_cell_length_a 6.719
_cell_length_b 6.719
_cell_length_c 6.152
_cell_angle_alpha 90.00
_cell_angle_beta 90.00
_cell_angle_gamma 90.00
_symmetry_space_group_name_H-M 'P 4/m b m'
_symmetry_Int_Tables_number 127
_symmetry_space_group_name_Hall '-P 4 2ab'
loop_
_atom_site_label
_atom_site_type_symbol
_atom_site_fract_x
_atom_site_fract_y
_atom_site_fract_z
Sr1 Sr 0.000 0.000 0.000
Pm1 Pm 0.172 0.328 0.500
Au1 Au 0.000 0.500 0.000
O1 O 0.000 0.000 0.500
O2 O 0.149 0.649 0.258
```

Computed properties:
E_form (uncorrected) = -2375 meV/atom

***

The following is a DFT calculation (GGA-PBE) of a geometry-optimized Pm4TlAuO structure.

```
data_Pm4TlAuO
_chemical_formula_sum 'Pm16 Tl4 Au4 O4'
_cell_length_a 6.852
_cell_length_b 15.726
_cell_length_c 6.878
_cell_angle_alpha 90.00
_cell_angle_beta 90.00
_cell_angle_gamma 90.00
_symmetry_space_group_name_H-M 'C m c m'
_symmetry_Int_Tables_number 63
_symmetry_space_group_name_Hall '-C 2c 2'
loop_
_atom_site_label
_atom_site_type_symbol
_atom_site_fract_x
_atom_site_fract_y
_atom_site_fract_z
Pm1 Pm 0.000 0.061 0.250
Pm2 Pm 0.000 0.420 0.250
Pm3 Pm 0.250 0.250 0.000
Tl1 Tl 0.000 0.385 0.750
Au1 Au 0.000 0.122 0.750
O1 O 0.000 0.258 0.250
```

Computed properties:
E_form (uncorrected) = -1116 meV/atom

***

The following is a DFT calculation (GGA-PBE) of a geometry-optimized PmTlAuO4 structure.

```
data_PmTlAuO4
_chemical_formula_sum 'Pm4 Tl4 Au4 O16'
_cell_length_a 6.944
_cell_length_b 7.093
_cell_length_c 9.519
_cell_angle_alpha 90.00
_cell_angle_beta 90.00
_cell_angle_gamma 90.00
_symmetry_space_group_name_H-M 'I m m a'
_symmetry_Int_Tables_number 74
_symmetry_space_group_name_Hall '-I 2b 2'
loop_
_atom_site_label
_atom_site_type_symbol
_atom_site_fract_x
_atom_site_fract_y
_atom_site_fract_z
Pm1 Pm 0.000 0.250 0.191
Tl1 Tl 0.000 0.000 0.500
Au1 Au 0.250 0.250 0.750
O1 O 0.000 0.070 0.737
O2 O 0.201 0.250 0.413
```

Computed properties:
E_form (uncorrected) = -1306 meV/atom